The following is a DFT calculation (meta-GGA SCAN) of Na2Zn2In at its PBEsol-relaxed geometry.

Calculated values
The value obtained for the formation energy from the elements is -0.22 eV/f.u. The total energy is -69.07 eV per formula unit. As for the energy above the most stable polymorph in this dataset: 0 meV/atom. For the density of states at the Fermi level, the calculation gives 4.2 states/eV per cell.

Cell lengths 6.9609, 6.9609, 4.7059 Å; angles 90.00, 90.00, 90.00 degrees
Space group P4/mbm (No. 127)
One atom of each set of equivalent atoms:
1 Na 0.1760 0.3240 0.0000 (multiplicity 4)
2 Zn 0.1260 0.6260 0.5000 (multiplicity 4)
3 In 0.0000 0.0000 0.5000 (multiplicity 2)

---

The following is a DFT calculation (meta-GGA SCAN) of BaRePb at its PBEsol-relaxed geometry.

Calculated values
The value obtained for the formation energy from the elements is 5.46 eV/f.u. The total energy is -180.97 eV per formula unit. As for the energy above the most stable polymorph in this dataset: 746 meV/atom. For the density of states at the Fermi level, the calculation gives 11.2 states/eV per cell.

Cell lengths 7.4021, 7.4021, 7.4021 Å; angles 90.00, 90.00, 90.00 degrees
Space group F-43m (No. 216)
One atom of each set of equivalent atoms:
1 Ba 0.0000 0.0000 0.0000 (multiplicity 4)
2 Re 0.2500 0.2500 0.2500 (multiplicity 4)
3 Pb 0.2500 0.2500 0.7500 (multiplicity 4)